1.
Crystalline CaIn2Pt2 at its relaxed geometry, computed with PBE-GGA.

Unit cell a=4.305 b=4.305 c=6.769 alpha=71.46 beta=71.46 gamma=90.00
Atoms (fractional coordinates):
1 Ca 0.000 0.000 0.000
2 Pt 0.750 0.250 0.500
3 Pt 0.250 0.750 0.500
4 In 0.383 0.383 0.234
5 In 0.617 0.617 0.766

Results
E ... -22.1 eV for the cell shown
Formation energy from the elements ... -506 meV per atom
Space-group type ... I4/mmm

***

2.
Crystalline Ce2Zn at its relaxed geometry, computed with PBE-GGA.

Unit cell a=6.196 b=6.193 c=5.413 alpha=99.72 beta=109.28 gamma=124.30
Each line ends with the local moment (μB).
Atoms (fractional coordinates):
1 Ce 0.746 0.026 0.048  0.14
2 Ce 0.254 0.974 0.952  0.14
3 Ce 0.478 0.698 0.452  0.14
4 Ce 0.522 0.302 0.548  0.14
5 Zn 0.117 0.368 0.750  0.00
6 Zn 0.883 0.632 0.250  0.00

Results
E ... -27.0 eV for the cell shown
Formation energy from the elements ... -124 meV per atom
Space-group type ... P-1

***

> formation energy from the elements of number 1 (CaIn2Pt2)?

-506 meV per atom

***

> What is the formula in the first record?

CaIn2Pt2

***

Please write out number 1 again, unchanged.
Crystalline CaIn2Pt2 at its relaxed geometry, computed with PBE-GGA.

Unit cell a=4.305 b=4.305 c=6.769 alpha=71.46 beta=71.46 gamma=90.00
Atoms (fractional coordinates):
1 Ca 0.000 0.000 0.000
2 Pt 0.750 0.250 0.500
3 Pt 0.250 0.750 0.500
4 In 0.383 0.383 0.234
5 In 0.617 0.617 0.766

Results
E ... -22.1 eV for the cell shown
Formation energy from the elements ... -506 meV per atom
Space-group type ... I4/mmm

***

> Which of these has the lowest formation energy from the elements?

CaIn2Pt2